[1]
Computed, not measured: a relaxed structure of Th2ZnAs4 at the PBE-GGA level of DFT.

Geometry as CIF:
```
data_Th2ZnAs4
_symmetry_space_group_name_H-M 'P 1'
_symmetry_Int_Tables_number 1
_symmetry_space_group_name_Hall 'P 1'
_cell_length_a 4.089
_cell_length_b 4.089
_cell_length_c 9.796
_cell_angle_alpha 90.00
_cell_angle_beta 90.00
_cell_angle_gamma 90.00
loop_
_atom_site_label
_atom_site_fract_x
_atom_site_fract_y
_atom_site_fract_z
_atom_site_occupancy
Th1 0.000 0.500 0.231 1
Th2 0.500 0.000 0.769 1
Zn1 0.000 0.000 0.500 1
As1 0.000 0.000 0.000 1
As2 0.000 0.500 0.658 1
As3 0.500 0.000 0.342 1
As4 0.500 0.500 0.000 1
```

Properties
space-group type	P-4m2 (115)
ΔE_f	-0.8794	eV/atom



[2]
Computed, not measured: a relaxed structure of Ga3SeF at the PBE-GGA level of DFT.

Geometry as CIF:
```
data_Ga3SeF
_symmetry_space_group_name_H-M 'P 1'
_symmetry_Int_Tables_number 1
_symmetry_space_group_name_Hall 'P 1'
_cell_length_a 4.818
_cell_length_b 4.818
_cell_length_c 4.818
_cell_angle_alpha 90.00
_cell_angle_beta 90.00
_cell_angle_gamma 90.00
loop_
_atom_site_label
_atom_site_fract_x
_atom_site_fract_y
_atom_site_fract_z
_atom_site_occupancy
Ga1 0.000 0.000 0.500 1
Ga2 0.000 0.500 0.000 1
Ga3 0.500 0.000 0.000 1
Se1 0.500 0.500 0.500 1
F1 0.000 0.000 0.000 1
```

Properties
ΔE_f (raw)	-0.521	eV/atom
space-group type	Pm-3m (221)



[3]
Computed, not measured: a relaxed structure of Hg3P at the PBE-GGA level of DFT.

Geometry as CIF:
```
data_Hg3P
_symmetry_space_group_name_H-M 'P 1'
_symmetry_Int_Tables_number 1
_symmetry_space_group_name_Hall 'P 1'
_cell_length_a 5.048
_cell_length_b 5.048
_cell_length_c 5.048
_cell_angle_alpha 60.00
_cell_angle_beta 60.00
_cell_angle_gamma 60.00
loop_
_atom_site_label
_atom_site_fract_x
_atom_site_fract_y
_atom_site_fract_z
_atom_site_occupancy
Hg1 0.000 0.000 0.000 1
Hg2 0.250 0.250 0.250 1
Hg3 0.750 0.750 0.750 1
P1 0.500 0.500 0.500 1
```

Properties
space-group type	Fm-3m (225)
ΔE_f	0.4770	eV/atom